A geometry-optimized Sn3GeSe6 structure. Source: Alexandria, functional PBE-GGA.

abc: 6.786 9.128 9.128
angles: 102.89 90.00 90.00
Atoms (fractional coordinates):
1 Se 0.656 0.615 0.714
2 Sn 0.490 0.907 0.718
3 Se 0.156 0.714 0.615
4 Ge 0.546 0.800 0.200
5 Se 0.675 0.956 0.044
6 Ge 0.046 0.200 0.800
7 Se 0.216 0.116 0.563
8 Se 0.198 0.785 0.215
9 Se 0.175 0.044 0.956
10 Sn 0.341 0.425 0.575
11 Se 0.698 0.215 0.785
12 Sn 0.490 0.282 0.093
13 Se 0.216 0.437 0.884
14 Sn 0.990 0.718 0.907
15 Sn 0.990 0.093 0.282
16 Se 0.156 0.385 0.286
17 Se 0.656 0.286 0.385
18 Sn 0.841 0.575 0.425
19 Se 0.716 0.884 0.437
20 Se 0.716 0.563 0.116

Values from the calculation:
raw formation energy	-0.26	eV per atom
SG	Cmc2_1, No. 36
uncorrected energy	-80.229	eV per cell
total magnetic moment	0.00	Bohr magnetons per cell